An optimized crystal structure of Nd2ZnCu4Si3. Source: the Alexandria database, functional GGA-PBE.

a = 4.121 Å, b = 4.121 Å, c = 9.947 Å
α = 90.00°, β = 90.00°, γ = 90.00°
Space group P-4m2 (No. 115)
Symmetry-distinct sites (fractional):
Nd1 0.000 0.500 0.244 [2 per cell]
Zn1 0.000 0.000 0.500 [1 per cell]
Cu1 0.000 0.000 0.000 [1 per cell]
Cu2 0.000 0.500 0.633 [2 per cell]
Cu3 0.500 0.500 0.000 [1 per cell]
Si1 0.000 0.500 0.870 [2 per cell]
Si2 0.500 0.500 0.500 [1 per cell]

Results
Raw formation energy (meV/atom): -501